SmLuCoRu | PBE | relaxed

Calculated density = 10.51 g/cm3
Fermi-level density of states = 0.883 states/eV/atom
Total energy = -26.48 eV per cell
Energy relative to the elements = -0.2152 eV/atom

Cell lengths 4.7684, 4.7684, 4.7684 Å; angles 60.00, 60.00, 60.00 degrees
With the nearest neighbours (Å) after each atom.
Fractional coordinates of all 4 atoms:
1 Sm 0.0000 0.0000 0.0000  4 Co 2.92, 4 Ru 2.92
2 Lu 0.5000 0.5000 0.5000  4 Ru 2.92, 4 Co 2.92
3 Co 0.2500 0.2500 0.2500  4 Lu 2.92, 4 Sm 2.92
4 Ru 0.7500 0.7500 0.7500  4 Lu 2.92, 4 Sm 2.92